This record from Alexandria via LeMat-Bulk describes a relaxed Ac3Pd2Au3 crystal. The functional is PBE.

a b c (Å): 6.1472 6.1472 17.1186
angles (deg): 90.00 90.00 138.08
Last column: nearest neighbours and their distance in Å.
Fractional positions:
Ac  0.1096  0.8904  0.5939  2 Pd 3.16, 7 Au 3.29-3.49
Ac  0.1096  0.8904  0.9061  2 Pd 3.16, 7 Au 3.29-3.49
Ac  0.3689  0.6311  0.7500  5 Au 3.18-3.46, 4 Pd 3.19
Ac  0.6311  0.3689  0.2500  5 Au 3.18-3.46, 4 Pd 3.19
Ac  0.8904  0.1096  0.0939  2 Pd 3.16, 7 Au 3.29-3.49
Ac  0.8904  0.1096  0.4061  2 Pd 3.16, 7 Au 3.29-3.49
Pd  0.1972  0.8028  0.1227  3 Au 2.77-2.83
Pd  0.1972  0.8028  0.3773  3 Au 2.77-2.83
Pd  0.8028  0.1972  0.6227  3 Au 2.77-2.83
Pd  0.8028  0.1972  0.8773  3 Au 2.77-2.83
Au  0.3545  0.6455  0.2500  2 Pd 2.83
Au  0.4004  0.5996  0.5492  2 Pd 2.77, 1 Au 2.84
Au  0.4004  0.5996  0.9508  2 Pd 2.77, 1 Au 2.84
Au  0.5996  0.4004  0.0492  2 Pd 2.77, 1 Au 2.84
Au  0.5996  0.4004  0.4508  2 Pd 2.77, 1 Au 2.84
Au  0.6455  0.3545  0.7500  2 Pd 2.83

Energy = -0.361 Ry per atom
Symmetry = No. 63
ΔE_f = -650 kJ/mol of formula units



This record from Alexandria via LeMat-Bulk describes a relaxed Ac2Pd3Au2 crystal. The functional is PBE.

a b c (Å): 5.9698 5.9698 7.0276
angles (deg): 106.36 106.36 43.42
Last column: nearest neighbours and their distance in Å.
Fractional positions:
Ac  0.1267  0.1267  0.2624  4 Au 3.18-3.22, 6 Pd 3.18-3.33
Ac  0.8733  0.8733  0.7376  4 Au 3.18-3.22, 6 Pd 3.18-3.33
Pd  0.3968  0.3968  0.0721  2 Pd 2.77-2.87, 3 Au 2.80-2.97
Pd  0.5000  0.5000  0.5000  2 Pd 2.87, 4 Au 2.99
Pd  0.6032  0.6032  0.9279  2 Pd 2.77-2.87, 3 Au 2.80-2.97
Au  0.1619  0.1619  0.7281  5 Pd 2.80-2.99
Au  0.8381  0.8381  0.2719  5 Pd 2.80-2.99

Energy = -0.373 Ry per atom
Symmetry = No. 12
ΔE_f = -496 kJ/mol of formula units



This record from Alexandria via LeMat-Bulk describes a relaxed AcPdAu11 crystal. The functional is PBE.

a b c (Å): 7.4129 7.4129 7.1720
angles (deg): 98.02 98.02 135.24
Last column: nearest neighbours and their distance in Å.
Fractional positions:
Ac  0.0000  0.0000  0.0000  18 Au 3.34-3.71, 2 Pd 3.59
Pd  0.0000  0.0000  0.5000  10 Au 2.81-2.86
Au  0.0000  0.5000  0.0000  10 Au 2.79-2.97
Au  0.0147  0.6698  0.6457  1 Pd 2.86, 8 Au 2.89-3.17
Au  0.2842  0.4994  0.7830  7 Au 2.75-3.02, 1 Pd 2.81
Au  0.3302  0.9853  0.3543  1 Pd 2.86, 8 Au 2.89-3.17
Au  0.4994  0.2842  0.7830  7 Au 2.75-3.02, 1 Pd 2.81
Au  0.5000  0.0000  0.0000  10 Au 2.79-2.97
Au  0.5000  0.5000  0.5000  8 Au 2.75-2.99, 2 Pd 2.82
Au  0.5006  0.7158  0.2170  7 Au 2.75-3.02, 1 Pd 2.81
Au  0.6698  0.0147  0.6457  1 Pd 2.86, 8 Au 2.89-3.17
Au  0.7158  0.5006  0.2170  7 Au 2.75-3.02, 1 Pd 2.81
Au  0.9853  0.3302  0.3543  1 Pd 2.86, 8 Au 2.89-3.17

Energy = -0.276 Ry per atom
Symmetry = No. 12
ΔE_f = -338 kJ/mol of formula units



This record from Alexandria via LeMat-Bulk describes a relaxed Ac2Pd2Au15 crystal. The functional is PBE.

a b c (Å): 7.3468 7.3468 7.3468
angles (deg): 82.51 82.51 82.51
Last column: nearest neighbours and their distance in Å.
Fractional positions:
Ac  0.1752  0.1752  0.1752  1 Pd 3.21, 12 Au 3.43-3.52
Ac  0.8248  0.8248  0.8248  1 Pd 3.21, 12 Au 3.43-3.52
Pd  0.3998  0.3998  0.3998  1 Pd 2.86, 12 Au 2.95-3.20
Pd  0.6002  0.6002  0.6002  1 Pd 2.86, 12 Au 2.95-3.20
Au  0.0000  0.5000  0.5000  8 Au 2.80-2.85, 2 Pd 2.95
Au  0.1436  0.1436  0.6560  8 Au 2.78-3.04
Au  0.1436  0.6560  0.1436  8 Au 2.78-3.04
Au  0.2045  0.5000  0.7955  8 Au 2.80-3.04
Au  0.2045  0.7955  0.5000  8 Au 2.80-3.04
Au  0.3440  0.8564  0.8564  8 Au 2.78-3.04
Au  0.5000  0.0000  0.5000  8 Au 2.80-2.85, 2 Pd 2.95
Au  0.5000  0.2045  0.7955  8 Au 2.80-3.04
Au  0.5000  0.5000  0.0000  8 Au 2.80-2.85, 2 Pd 2.95
Au  0.5000  0.7955  0.2045  8 Au 2.80-3.04
Au  0.6560  0.1436  0.1436  8 Au 2.78-3.04
Au  0.7955  0.2045  0.5000  8 Au 2.80-3.04
Au  0.7955  0.5000  0.2045  8 Au 2.80-3.04
Au  0.8564  0.3440  0.8564  8 Au 2.78-3.04
Au  0.8564  0.8564  0.3440  8 Au 2.78-3.04

Energy = -0.288 Ry per atom
Symmetry = No. 166
ΔE_f = -635 kJ/mol of formula units



This record from Alexandria via LeMat-Bulk describes a relaxed Ac2Pd4Au3 crystal. The functional is PBE.

a b c (Å): 8.8397 8.8397 8.0329
angles (deg): 90.00 90.00 141.81
Last column: nearest neighbours and their distance in Å.
Fractional positions:
Ac  0.1124  0.8876  0.9220  5 Pd 3.07-3.39, 2 Au 3.21
Ac  0.3876  0.6124  0.4220  5 Pd 3.07-3.39, 2 Au 3.21
Ac  0.6124  0.3876  0.5780  5 Pd 3.07-3.39, 2 Au 3.21
Ac  0.8876  0.1124  0.0780  5 Pd 3.07-3.39, 2 Au 3.21
Pd  0.1656  0.8344  0.5153  5 Au 2.77-2.88, 2 Pd 3.05, 2 Ac 3.07
Pd  0.1821  0.3179  0.7500  3 Au 2.72-2.83, 2 Pd 2.89
Pd  0.3179  0.1821  0.2500  3 Au 2.72-2.83, 2 Pd 2.89
Pd  0.3344  0.6656  0.0153  5 Au 2.77-2.88, 2 Pd 3.05, 2 Ac 3.07
Pd  0.6656  0.3344  0.9847  5 Au 2.77-2.88, 2 Pd 3.05, 2 Ac 3.07
Pd  0.6821  0.8179  0.7500  3 Au 2.72-2.83, 2 Pd 2.89
Pd  0.8179  0.6821  0.2500  3 Au 2.72-2.83, 2 Pd 2.89
Pd  0.8344  0.1656  0.4847  5 Au 2.77-2.88, 2 Pd 3.05, 2 Ac 3.07
Au  0.0000  0.0000  0.5000  6 Pd 2.72-2.77
Au  0.0130  0.4870  0.7500  5 Pd 2.83-2.88, 2 Au 2.89
Au  0.4870  0.0130  0.2500  5 Pd 2.83-2.88, 2 Au 2.89
Au  0.5000  0.5000  0.0000  6 Pd 2.72-2.77
Au  0.5130  0.9870  0.7500  5 Pd 2.83-2.88, 2 Au 2.89
Au  0.9870  0.5130  0.2500  5 Pd 2.83-2.88, 2 Au 2.89

Energy = -0.366 Ry per atom
Symmetry = No. 64
ΔE_f = -582 kJ/mol of formula units



This record from Alexandria via LeMat-Bulk describes a relaxed AcPd2Au3 crystal. The functional is PBE.

a b c (Å): 6.7309 6.7309 5.6635
angles (deg): 90.00 90.00 87.52
Last column: nearest neighbours and their distance in Å.
Fractional positions:
Ac  0.1760  0.8240  0.7500  7 Au 3.19-3.34, 4 Pd 3.24
Ac  0.8240  0.1760  0.2500  7 Au 3.19-3.34, 4 Pd 3.24
Pd  0.2477  0.2477  0.0000  6 Au 2.74-2.92, 2 Pd 2.83
Pd  0.2477  0.2477  0.5000  6 Au 2.74-2.92, 2 Pd 2.83
Pd  0.7523  0.7523  0.0000  6 Au 2.74-2.92, 2 Pd 2.83
Pd  0.7523  0.7523  0.5000  6 Au 2.74-2.92, 2 Pd 2.83
Au  0.0673  0.5898  0.2500  4 Pd 2.74-2.92, 1 Au 2.81
Au  0.4102  0.9327  0.2500  4 Pd 2.74-2.92, 1 Au 2.81
Au  0.4812  0.5188  0.2500  4 Au 2.81-2.85, 4 Pd 2.84
Au  0.5188  0.4812  0.7500  4 Au 2.81-2.85, 4 Pd 2.84
Au  0.5898  0.0673  0.7500  4 Pd 2.74-2.92, 1 Au 2.81
Au  0.9327  0.4102  0.7500  4 Pd 2.74-2.92, 1 Au 2.81

Energy = -0.337 Ry per atom
Symmetry = No. 63
ΔE_f = -311 kJ/mol of formula units